Here is VP2PdO after structural relaxation from Alexandria. Energies are from PBE+U.

Structure (POSCAR):
```
VP2PdO
1.0
4.6217 0.0000 0.0000
0.0000 4.6217 0.0000
0.0000 0.0000 3.8905
V P Pd O
1 2 1 1
Direct
0.0000 0.0000 0.0000
0.0000 0.5000 0.5000
0.5000 0.0000 0.5000
0.5000 0.5000 0.5000
0.5000 0.5000 0.0000
```

Properties
**Density of states at the Fermi level**: 6.95 states/eV/f.u.
**ρ**: 4.702 g/cm3
**Relative energy among the computed polymorphs**: 910 meV per atom